Version one
! PBE Ac6InSn2, relaxed; values from VASP
&SYSTEM
  ibrav = 0, nat = 9, ntyp = 3
/
ATOMIC_SPECIES
Ac 227.00 Ac.upf
In 114.82 In.upf
Sn 118.71 Sn.upf
ATOMIC_POSITIONS crystal
Ac 0.084 0.584 0.335
Ac 0.250 0.750 0.000
Ac 0.416 0.916 0.665
Ac 0.584 0.084 0.335
Ac 0.750 0.250 0.000
Ac 0.916 0.416 0.665
In 0.000 0.000 0.500
Sn 0.333 0.333 0.833
Sn 0.667 0.667 0.167
CELL_PARAMETERS angstrom
8.907 -3.982 0.000
8.907 3.982 0.000
-1.781 0.000 5.356
! density of states at the Fermi level: 14.51 states/eV/cell
! density: 7.5 g cm⁻³

=====

Version two
! PBE Ac6InSn2, relaxed; values from VASP
&SYSTEM
  ibrav = 0, nat = 18, ntyp = 3
/
ATOMIC_SPECIES
Ac 227.00 Ac.upf
In 114.82 In.upf
Sn 118.71 Sn.upf
ATOMIC_POSITIONS crystal
Ac 0.048 0.246 0.802
Ac 0.170 0.456 0.286
Ac 0.170 0.885 0.714
Ac 0.323 0.234 0.557
Ac 0.323 0.766 0.089
Ac 0.444 0.246 0.198
Ac 0.556 0.754 0.802
Ac 0.677 0.234 0.911
Ac 0.677 0.766 0.443
Ac 0.830 0.115 0.286
Ac 0.830 0.544 0.714
Ac 0.952 0.754 0.198
In 0.000 0.000 0.000
In 0.500 0.500 0.000
Sn 0.143 0.500 0.643
Sn 0.375 0.875 0.500
Sn 0.625 0.125 0.500
Sn 0.857 0.500 0.357
CELL_PARAMETERS angstrom
-5.522 5.561 5.747
5.522 -5.561 5.747
5.522 5.561 -5.747
! density of states at the Fermi level: 15.72 states/eV/cell
! density: 8.1 g cm⁻³

=====

Which one sits at the top of the stability order? version two does.

=====

Version one
! PBE Ac5InSn2, relaxed; values from VASP
&SYSTEM
  ibrav = 0, nat = 16, ntyp = 3
/
ATOMIC_SPECIES
Ac 227.00 Ac.upf
In 114.82 In.upf
Sn 118.71 Sn.upf
ATOMIC_POSITIONS crystal
Ac 0.095 0.905 0.583
Ac 0.095 0.905 0.917
Ac 0.312 0.688 0.250
Ac 0.397 0.603 0.614
Ac 0.397 0.603 0.886
Ac 0.603 0.397 0.114
Ac 0.603 0.397 0.386
Ac 0.688 0.312 0.750
Ac 0.905 0.095 0.083
Ac 0.905 0.095 0.417
In 0.022 0.978 0.250
In 0.978 0.022 0.750
Sn 0.255 0.745 0.070
Sn 0.255 0.745 0.430
Sn 0.745 0.255 0.570
Sn 0.745 0.255 0.930
CELL_PARAMETERS angstrom
2.758 -6.147 0.000
2.758 6.147 0.000
0.000 0.000 18.256
! density of states at the Fermi level: 15.83 states/eV/cell
! density: 8.0 g cm⁻³

=====

Version two
! PBE Ac5InSn2, relaxed; values from VASP
&SYSTEM
  ibrav = 0, nat = 16, ntyp = 3
/
ATOMIC_SPECIES
Ac 227.00 Ac.upf
In 114.82 In.upf
Sn 118.71 Sn.upf
ATOMIC_POSITIONS crystal
Ac 0.000 0.000 0.000
Ac 0.023 0.523 0.840
Ac 0.183 0.023 0.500
Ac 0.317 0.817 0.840
Ac 0.477 0.317 0.500
Ac 0.500 0.500 0.000
Ac 0.523 0.683 0.500
Ac 0.683 0.183 0.160
Ac 0.817 0.977 0.500
Ac 0.977 0.477 0.160
In 0.250 0.250 0.000
In 0.750 0.750 0.000
Sn 0.128 0.372 0.500
Sn 0.372 0.872 0.243
Sn 0.628 0.128 0.757
Sn 0.872 0.628 0.500
CELL_PARAMETERS angstrom
-4.406 4.406 7.826
4.406 -4.406 7.826
4.406 4.406 -7.826
! density of states at the Fermi level: 13.44 states/eV/cell
! density: 8.1 g cm⁻³

=====

Which one sits at the top of the stability order? version two does.

=====

Version one
! PBE AcIn2Sn, relaxed; values from VASP
&SYSTEM
  ibrav = 0, nat = 16, ntyp = 3
/
ATOMIC_SPECIES
Ac 227.00 Ac.upf
In 114.82 In.upf
Sn 118.71 Sn.upf
ATOMIC_POSITIONS crystal
Ac 0.000 0.000 0.000
Ac 0.000 0.500 0.500
Ac 0.500 0.000 0.500
Ac 0.500 0.500 0.000
In 0.250 0.250 0.250
In 0.250 0.250 0.750
In 0.250 0.750 0.250
In 0.250 0.750 0.750
In 0.750 0.250 0.250
In 0.750 0.250 0.750
In 0.750 0.750 0.250
In 0.750 0.750 0.750
Sn 0.000 0.000 0.500
Sn 0.000 0.500 0.000
Sn 0.500 0.000 0.000
Sn 0.500 0.500 0.500
CELL_PARAMETERS angstrom
7.891 0.000 0.000
0.000 7.891 0.000
0.000 0.000 7.891
! density of states at the Fermi level: 7.25 states/eV/cell
! density: 7.8 g cm⁻³

=====

Version two
! PBE AcIn2Sn, relaxed; values from VASP
&SYSTEM
  ibrav = 0, nat = 4, ntyp = 3
/
ATOMIC_SPECIES
Ac 227.00 Ac.upf
In 114.82 In.upf
Sn 118.71 Sn.upf
ATOMIC_POSITIONS crystal
Ac 0.000 0.000 0.000
In 0.500 0.500 0.293
In 0.500 0.500 0.707
Sn 0.000 0.000 0.500
CELL_PARAMETERS angstrom
4.058 0.000 0.000
0.000 4.058 0.000
0.000 0.000 7.333
! density of states at the Fermi level: 3.04 states/eV/cell
! density: 7.9 g cm⁻³

=====

Version three
! PBE AcIn2Sn, relaxed; values from VASP
&SYSTEM
  ibrav = 0, nat = 4, ntyp = 3
/
ATOMIC_SPECIES
Ac 227.00 Ac.upf
In 114.82 In.upf
Sn 118.71 Sn.upf
ATOMIC_POSITIONS crystal
Ac 0.000 0.000 0.000
In 0.000 0.500 0.500
In 0.500 0.000 0.500
Sn 0.500 0.500 0.000
CELL_PARAMETERS angstrom
4.838 0.000 0.000
0.000 4.838 0.000
0.000 0.000 5.073
! density of states at the Fermi level: 2.03 states/eV/cell
! density: 8.0 g cm⁻³

=====

Version four
! PBE AcIn2Sn, relaxed; values from VASP
&SYSTEM
  ibrav = 0, nat = 12, ntyp = 3
/
ATOMIC_SPECIES
Ac 227.00 Ac.upf
In 114.82 In.upf
Sn 118.71 Sn.upf
ATOMIC_POSITIONS crystal
Ac 0.000 0.000 0.000
Ac 0.333 0.667 0.667
Ac 0.667 0.333 0.333
In 0.000 0.000 0.224
In 0.000 0.000 0.776
In 0.333 0.667 0.442
In 0.333 0.667 0.891
In 0.667 0.333 0.109
In 0.667 0.333 0.558
Sn 0.000 0.000 0.500
Sn 0.333 0.667 0.167
Sn 0.667 0.333 0.833
CELL_PARAMETERS angstrom
5.152 0.000 0.000
-2.576 4.462 0.000
0.000 0.000 16.351
! density of states at the Fermi level: 10.18 states/eV/cell
! density: 7.6 g cm⁻³

=====

Which one sits at the top of the stability order? version three does.

=====

Version one
! PBE Sr2AcIn, relaxed; values from VASP
&SYSTEM
  ibrav = 0, nat = 4, ntyp = 3
/
ATOMIC_SPECIES
Sr 87.62 Sr.upf
Ac 227.00 Ac.upf
In 114.82 In.upf
ATOMIC_POSITIONS crystal
Sr 0.000 0.000 0.203
Sr 0.000 0.000 0.797
Ac 0.500 0.500 0.500
In 0.500 0.500 0.000
CELL_PARAMETERS angstrom
3.909 0.000 0.000
0.000 3.909 0.000
0.000 0.000 10.817
! density of states at the Fermi level: 4.16 states/eV/cell
! density: 5.2 g cm⁻³

=====

Version two
! PBE Sr2AcIn, relaxed; values from VASP
&SYSTEM
  ibrav = 0, nat = 12, ntyp = 3
/
ATOMIC_SPECIES
Sr 87.62 Sr.upf
Ac 227.00 Ac.upf
In 114.82 In.upf
ATOMIC_POSITIONS crystal
Sr 0.000 0.000 0.084
Sr 0.000 0.000 0.916
Sr 0.333 0.667 0.583
Sr 0.333 0.667 0.751
Sr 0.667 0.333 0.249
Sr 0.667 0.333 0.417
Ac 0.000 0.000 0.500
Ac 0.333 0.667 0.167
Ac 0.667 0.333 0.833
In 0.000 0.000 0.000
In 0.333 0.667 0.667
In 0.667 0.333 0.333
CELL_PARAMETERS angstrom
3.964 0.000 0.000
-1.982 3.433 0.000
0.000 0.000 40.913
! density of states at the Fermi level: 18.30 states/eV/cell
! density: 4.6 g cm⁻³

=====

Version three
! PBE Sr2AcIn, relaxed; values from VASP
&SYSTEM
  ibrav = 0, nat = 12, ntyp = 3
/
ATOMIC_SPECIES
Sr 87.62 Sr.upf
Ac 227.00 Ac.upf
In 114.82 In.upf
ATOMIC_POSITIONS crystal
Sr 0.000 0.000 0.000
Sr 0.000 0.000 0.191
Sr 0.333 0.667 0.667
Sr 0.333 0.667 0.858
Sr 0.667 0.333 0.333
Sr 0.667 0.333 0.524
Ac 0.000 0.000 0.762
Ac 0.333 0.667 0.428
Ac 0.667 0.333 0.095
In 0.000 0.000 0.596
In 0.333 0.667 0.262
In 0.667 0.333 0.929
CELL_PARAMETERS angstrom
4.060 0.000 0.000
-2.030 3.516 0.000
0.000 0.000 36.093
! density of states at the Fermi level: 13.37 states/eV/cell
! density: 5.0 g cm⁻³

=====

Version four
! PBE Sr2AcIn, relaxed; values from VASP
&SYSTEM
  ibrav = 0, nat = 4, ntyp = 3
/
ATOMIC_SPECIES
Sr 87.62 Sr.upf
Ac 227.00 Ac.upf
In 114.82 In.upf
ATOMIC_POSITIONS crystal
Sr 0.000 0.500 0.000
Sr 0.500 0.000 0.000
Ac 0.000 0.000 0.500
In 0.500 0.500 0.500
CELL_PARAMETERS angstrom
5.286 0.000 0.000
0.000 5.286 0.000
0.000 0.000 5.698
! density of states at the Fermi level: 2.33 states/eV/cell
! density: 5.4 g cm⁻³

=====

Which one sits at the top of the stability order? version one does.

=====

Version one
! PBE SrAcIn3, relaxed; values from VASP
&SYSTEM
  ibrav = 0, nat = 10, ntyp = 3
/
ATOMIC_SPECIES
Sr 87.62 Sr.upf
Ac 227.00 Ac.upf
In 114.82 In.upf
ATOMIC_POSITIONS crystal
Sr 0.073 0.927 0.750
Sr 0.927 0.073 0.250
Ac 0.211 0.789 0.250
Ac 0.789 0.211 0.750
In 0.328 0.672 0.250
In 0.382 0.618 0.750
In 0.477 0.523 0.750
In 0.523 0.477 0.250
In 0.618 0.382 0.250
In 0.672 0.328 0.750
CELL_PARAMETERS angstrom
2.052 -15.539 0.000
2.052 15.539 0.000
0.000 0.000 5.108
! density of states at the Fermi level: 6.65 states/eV/cell
! density: 6.7 g cm⁻³

=====

Version two
! PBE SrAcIn3, relaxed; values from VASP
&SYSTEM
  ibrav = 0, nat = 10, ntyp = 3
/
ATOMIC_SPECIES
Sr 87.62 Sr.upf
Ac 227.00 Ac.upf
In 114.82 In.upf
ATOMIC_POSITIONS crystal
Sr 0.208 0.792 0.750
Sr 0.792 0.208 0.250
Ac 0.072 0.928 0.250
Ac 0.928 0.072 0.750
In 0.326 0.674 0.750
In 0.381 0.619 0.250
In 0.476 0.524 0.250
In 0.524 0.476 0.750
In 0.619 0.381 0.750
In 0.674 0.326 0.250
CELL_PARAMETERS angstrom
2.124 -15.341 0.000
2.124 15.341 0.000
0.000 0.000 5.032
! density of states at the Fermi level: 6.25 states/eV/cell
! density: 6.7 g cm⁻³

=====

Which one sits at the top of the stability order? version two does.

=====

Version one
! PBE Sr2Ac2In3, relaxed; values from VASP
&SYSTEM
  ibrav = 0, nat = 14, ntyp = 3
/
ATOMIC_SPECIES
Sr 87.62 Sr.upf
Ac 227.00 Ac.upf
In 114.82 In.upf
ATOMIC_POSITIONS crystal
Sr 0.000 0.193 0.000
Sr 0.000 0.807 0.000
Sr 0.500 0.307 0.000
Sr 0.500 0.693 0.000
Ac 0.000 0.066 0.000
Ac 0.000 0.934 0.000
Ac 0.500 0.434 0.000
Ac 0.500 0.566 0.000
In 0.000 0.369 0.500
In 0.000 0.500 0.500
In 0.000 0.631 0.500
In 0.500 0.000 0.500
In 0.500 0.131 0.500
In 0.500 0.869 0.500
CELL_PARAMETERS angstrom
4.070 0.000 0.000
0.000 32.751 0.000
0.000 0.000 3.991
! density of states at the Fermi level: 14.25 states/eV/cell
! density: 6.1 g cm⁻³

=====

Version two
! PBE Sr2Ac2In3, relaxed; values from VASP
&SYSTEM
  ibrav = 0, nat = 7, ntyp = 3
/
ATOMIC_SPECIES
Sr 87.62 Sr.upf
Ac 227.00 Ac.upf
In 114.82 In.upf
ATOMIC_POSITIONS crystal
Sr 0.188 0.079 0.314
Sr 0.812 0.921 0.686
Ac 0.280 0.465 0.824
Ac 0.720 0.535 0.176
In 0.254 0.625 0.461
In 0.500 0.000 0.000
In 0.746 0.375 0.539
CELL_PARAMETERS angstrom
4.612 0.000 0.000
-0.201 6.364 0.000
-0.752 -1.332 9.143
! density of states at the Fermi level: 7.16 states/eV/cell
! density: 6.0 g cm⁻³

=====

Which one sits at the top of the stability order? version one does.

=====

Version one
! PBE SrAcIn, relaxed; values from VASP
&SYSTEM
  ibrav = 0, nat = 6, ntyp = 3
/
ATOMIC_SPECIES
Sr 87.62 Sr.upf
Ac 227.00 Ac.upf
In 114.82 In.upf
ATOMIC_POSITIONS crystal
Sr 0.000 0.000 0.000
Sr 0.000 0.000 0.500
Ac 0.333 0.667 0.250
Ac 0.667 0.333 0.750
In 0.333 0.667 0.750
In 0.667 0.333 0.250
CELL_PARAMETERS angstrom
5.887 0.000 0.000
-2.943 5.098 0.000
0.000 0.000 7.489
! density of states at the Fermi level: 1.86 states/eV/cell
! density: 6.3 g cm⁻³

=====

Version two
! PBE SrAcIn, relaxed; values from VASP
&SYSTEM
  ibrav = 0, nat = 3, ntyp = 3
/
ATOMIC_SPECIES
Sr 87.62 Sr.upf
Ac 227.00 Ac.upf
In 114.82 In.upf
ATOMIC_POSITIONS crystal
Sr 0.000 0.000 0.000
Ac 0.667 0.333 0.553
In 0.333 0.667 0.269
CELL_PARAMETERS angstrom
5.695 0.000 0.000
-2.848 4.932 0.000
0.000 0.000 4.096
! density of states at the Fermi level: 2.14 states/eV/cell
! density: 6.2 g cm⁻³

=====

Which one sits at the top of the stability order? version one does.

=====

Version one
! PBE SrAcIn4, relaxed; values from VASP
&SYSTEM
  ibrav = 0, nat = 12, ntyp = 3
/
ATOMIC_SPECIES
Sr 87.62 Sr.upf
Ac 227.00 Ac.upf
In 114.82 In.upf
ATOMIC_POSITIONS crystal
Sr 0.000 0.000 0.000
Sr 0.500 0.500 0.500
Ac 0.000 0.500 0.107
Ac 0.500 0.000 0.607
In 0.000 0.198 0.395
In 0.000 0.307 0.718
In 0.000 0.693 0.718
In 0.000 0.802 0.395
In 0.500 0.193 0.218
In 0.500 0.302 0.895
In 0.500 0.698 0.895
In 0.500 0.807 0.218
CELL_PARAMETERS angstrom
4.988 0.000 0.000
0.000 7.979 0.000
0.000 0.000 9.274
! density of states at the Fermi level: 6.91 states/eV/cell
! density: 7.0 g cm⁻³

=====

Version two
! PBE SrAcIn4, relaxed; values from VASP
&SYSTEM
  ibrav = 0, nat = 6, ntyp = 3
/
ATOMIC_SPECIES
Sr 87.62 Sr.upf
Ac 227.00 Ac.upf
In 114.82 In.upf
ATOMIC_POSITIONS crystal
Sr 0.000 0.000 0.000
Ac 0.750 0.750 0.750
In 0.375 0.375 0.375
In 0.375 0.375 0.874
In 0.375 0.874 0.375
In 0.874 0.375 0.375
CELL_PARAMETERS angstrom
0.000 4.459 4.459
4.459 0.000 4.459
4.459 4.459 0.000
! density of states at the Fermi level: 3.48 states/eV/cell
! density: 7.2 g cm⁻³

=====

Which one sits at the top of the stability order? version one does.

=====

Version one
! PBE Sr2AcIn2, relaxed; values from VASP
&SYSTEM
  ibrav = 0, nat = 10, ntyp = 3
/
ATOMIC_SPECIES
Sr 87.62 Sr.upf
Ac 227.00 Ac.upf
In 114.82 In.upf
ATOMIC_POSITIONS crystal
Sr 0.092 0.250 0.375
Sr 0.256 0.250 0.049
Sr 0.744 0.750 0.951
Sr 0.908 0.750 0.625
Ac 0.421 0.250 0.708
Ac 0.579 0.750 0.292
In 0.214 0.750 0.854
In 0.363 0.750 0.519
In 0.637 0.250 0.481
In 0.786 0.250 0.146
CELL_PARAMETERS angstrom
6.565 0.000 0.000
0.000 4.632 0.000
-1.557 0.000 13.715
! density of states at the Fermi level: 11.59 states/eV/cell
! density: 5.0 g cm⁻³

=====

Version two
! PBE Sr2AcIn2, relaxed; values from VASP
&SYSTEM
  ibrav = 0, nat = 10, ntyp = 3
/
ATOMIC_SPECIES
Sr 87.62 Sr.upf
Ac 227.00 Ac.upf
In 114.82 In.upf
ATOMIC_POSITIONS crystal
Sr 0.044 0.956 0.750
Sr 0.227 0.773 0.750
Sr 0.773 0.227 0.250
Sr 0.956 0.044 0.250
Ac 0.141 0.859 0.250
Ac 0.859 0.141 0.750
In 0.362 0.638 0.250
In 0.451 0.549 0.750
In 0.549 0.451 0.250
In 0.638 0.362 0.750
CELL_PARAMETERS angstrom
2.056 -15.493 0.000
2.056 15.493 0.000
0.000 0.000 5.874
! density of states at the Fermi level: 9.88 states/eV/cell
! density: 5.6 g cm⁻³

=====

Which one sits at the top of the stability order? version two does.

=====

Version one
! PBE SrAcIn6, relaxed; values from VASP
&SYSTEM
  ibrav = 0, nat = 16, ntyp = 3
/
ATOMIC_SPECIES
Sr 87.62 Sr.upf
Ac 227.00 Ac.upf
In 114.82 In.upf
ATOMIC_POSITIONS crystal
Sr 0.000 0.000 0.000
Sr 0.000 0.500 0.500
Ac 0.500 0.000 0.668
Ac 0.500 0.500 0.168
In 0.000 0.000 0.483
In 0.000 0.223 0.259
In 0.000 0.277 0.759
In 0.000 0.500 0.983
In 0.000 0.723 0.759
In 0.000 0.777 0.259
In 0.500 0.000 0.180
In 0.500 0.229 0.410
In 0.500 0.271 0.910
In 0.500 0.500 0.680
In 0.500 0.729 0.910
In 0.500 0.771 0.410
CELL_PARAMETERS angstrom
5.321 0.000 0.000
0.000 7.124 0.000
0.000 0.000 12.319
! density of states at the Fermi level: 6.60 states/eV/cell
! density: 7.1 g cm⁻³

=====

Version two
! PBE SrAcIn6, relaxed; values from VASP
&SYSTEM
  ibrav = 0, nat = 8, ntyp = 3
/
ATOMIC_SPECIES
Sr 87.62 Sr.upf
Ac 227.00 Ac.upf
In 114.82 In.upf
ATOMIC_POSITIONS crystal
Sr 0.000 0.000 0.000
Ac 0.500 0.500 0.779
In 0.000 0.253 0.530
In 0.000 0.500 0.134
In 0.000 0.747 0.530
In 0.500 0.000 0.651
In 0.500 0.244 0.248
In 0.500 0.756 0.248
CELL_PARAMETERS angstrom
5.055 0.000 0.000
0.000 6.836 0.000
0.000 0.000 6.849
! density of states at the Fermi level: 3.67 states/eV/cell
! density: 7.0 g cm⁻³

=====

Which one sits at the top of the stability order? version one does.